[1]
This record from Alexandria via LeMat-Bulk describes a relaxed SrLa2NiBi crystal. The functional is PBE-GGA.

Unit cell a=5.3136 b=5.3136 c=5.8732 alpha=90.00 beta=90.00 gamma=90.00
Element x y z (fractional)
Sr 0.0000 0.0000 0.0000
La 0.0000 0.5000 0.5000
La 0.5000 0.0000 0.5000
Ni 0.0000 0.0000 0.5000
Bi 0.5000 0.5000 0.0000

## Properties
Electronic total energy ... -23.297 eV/cell
Space group ... P4/mmm, No. 123
Density ... 6340 kg/m3
N(E_F) ... 5.22 states/eV/cell


[2]
This record from Alexandria via LeMat-Bulk describes a relaxed Sr2AlZn6Cu crystal. The functional is PBE-GGA.

Unit cell a=6.5398 b=6.5461 c=6.8887 alpha=61.70 beta=89.87 gamma=60.04
Element x y z (fractional)
Sr 0.2035 0.0924 0.1133
Sr 0.7965 0.9076 0.8867
Al 0.5000 0.5000 0.0000
Zn 0.2413 0.6091 0.6373
Zn 0.2420 0.0117 0.6388
Zn 0.3521 0.3889 0.3644
Zn 0.6479 0.6111 0.6356
Zn 0.7580 0.9883 0.3612
Zn 0.7587 0.3909 0.3627
Cu 0.0000 0.5000 0.5000

## Properties
Electronic total energy ... -20.508 eV/cell
Space group ... P-1, No. 2
Density ... 5106 kg/m3
N(E_F) ... 4.28 states/eV/cell


[3]
This record from Alexandria via LeMat-Bulk describes a relaxed KTcIr2 crystal. The functional is PBE-GGA.

Unit cell a=5.9070 b=5.9070 c=5.9070 alpha=153.34 beta=128.48 gamma=58.94
Element x y z (fractional)
K 0.0000 0.0000 0.0000
Tc 0.5000 0.5000 0.0000
Ir 0.2843 0.7843 0.5000
Ir 0.7157 0.2157 0.5000

## Properties
Electronic total energy ... -25.296 eV/cell
Space group ... Immm, No. 71
Density ... 12042 kg/m3
Excess energy over the best structure of this formula in the dataset ... 59.6 kJ/mol of atoms
N(E_F) ... 6.56 states/eV/cell


[4]
This record from Alexandria via LeMat-Bulk describes a relaxed SnAu2I8 crystal. The functional is PBE-GGA.

Unit cell a=12.9381 b=12.9381 c=8.7869 alpha=109.55 beta=109.55 gamma=20.71
Element x y z (fractional)
Sn 0.0000 0.0000 0.0000
Au 0.3120 0.3120 0.6922
Au 0.6880 0.6880 0.3078
I 0.0494 0.0494 0.6966
I 0.1542 0.1542 0.9548
I 0.2463 0.2463 0.2969
I 0.4248 0.4248 0.7627
I 0.5752 0.5752 0.2373
I 0.7537 0.7537 0.7031
I 0.8458 0.8458 0.0452
I 0.9506 0.9506 0.3034

## Properties
Electronic total energy ... -23.647 eV/cell
Space group ... C2/m, No. 12
Density ... 5187 kg/m3


[5]
This record from Alexandria via LeMat-Bulk describes a relaxed Sc2TlS2 crystal. The functional is PBE-GGA.

Unit cell a=6.5484 b=6.5484 c=6.5484 alpha=139.09 beta=139.09 gamma=59.24
Element x y z (fractional)
Sc 0.1494 0.1494 0.0000
Sc 0.8506 0.8506 0.0000
Tl 0.5000 0.5000 0.0000
S 0.2500 0.7500 0.5000
S 0.7500 0.2500 0.5000

## Properties
Electronic total energy ... -28.632 eV/cell
Space group ... I4/mmm, No. 139
Density ... 4991 kg/m3
N(E_F) ... 2.82 states/eV/cell


[6]
This record from Alexandria via LeMat-Bulk describes a relaxed Tm4IrAu2 crystal. The functional is PBE-GGA.

Unit cell a=6.0287 b=6.0287 c=4.8512 alpha=90.00 beta=90.00 gamma=108.34
Element x y z (fractional)
Tm 0.0000 0.5000 0.5000
Tm 0.2390 0.2390 0.0000
Tm 0.5000 0.0000 0.5000
Tm 0.7610 0.7610 0.0000
Ir 0.0000 0.0000 0.5000
Au 0.2657 0.7343 0.0000
Au 0.7343 0.2657 0.0000

## Properties
Electronic total energy ... -38.742 eV/cell
Space group ... Cmmm, No. 65
Density ... 12520 kg/m3
Excess energy over the best structure of this formula in the dataset ... 2.0 kJ/mol of atoms
N(E_F) ... 3.92 states/eV/cell


[7]
This record from Alexandria via LeMat-Bulk describes a relaxed LiNdGaPt crystal. The functional is PBE-GGA.

Unit cell a=5.3387 b=5.3387 c=5.3387 alpha=49.79 beta=49.79 gamma=49.79
Element x y z (fractional)
Li 0.0000 0.0000 0.0000
Nd 0.7955 0.7955 0.7955
Ga 0.2692 0.2692 0.2692
Pt 0.5856 0.5856 0.5856

## Properties
Electronic total energy ... -18.673 eV/cell
Space group ... R3m, No. 160
Density ... 8458 kg/m3
Excess energy over the best structure of this formula in the dataset ... 0.0 kJ/mol of atoms
N(E_F) ... 4.01 states/eV/cell


[8]
This record from Alexandria via LeMat-Bulk describes a relaxed LaMg2Cd10 crystal. The functional is PBE-GGA.

Unit cell a=9.9583 b=7.6832 c=7.6434 alpha=81.04 beta=49.65 gamma=49.30
Element x y z (fractional)
La 0.0000 0.0000 0.0000
Mg 0.0000 0.5000 0.0000
Mg 0.5000 0.0000 0.5000
Cd 0.0000 0.0000 0.5000
Cd 0.0034 0.3496 0.6504
Cd 0.2843 0.4982 0.5018
Cd 0.3496 0.0034 0.9966
Cd 0.4982 0.2843 0.7157
Cd 0.5000 0.5000 0.0000
Cd 0.5018 0.7157 0.2843
Cd 0.6504 0.9966 0.0034
Cd 0.7157 0.5018 0.4982
Cd 0.9966 0.6504 0.3496

## Properties
Electronic total energy ... -19.508 eV/cell
Space group ... Fmmm, No. 69
Density ... 7264 kg/m3
N(E_F) ... 3.23 states/eV/cell


[9]
This record from Alexandria via LeMat-Bulk describes a relaxed P2IrRhS crystal. The functional is PBE-GGA.

Unit cell a=4.3683 b=4.3683 c=5.3171 alpha=90.00 beta=90.00 gamma=90.00
Element x y z (fractional)
P 0.0000 0.5000 0.0000
P 0.5000 0.0000 0.0000
Ir 0.0000 0.0000 0.0000
Rh 0.0000 0.0000 0.5000
S 0.5000 0.5000 0.5000

## Properties
Electronic total energy ... -26.589 eV/cell
Space group ... P4/mmm, No. 123
Density ... 6369 kg/m3
Excess energy over the best structure of this formula in the dataset ... 0.0 kJ/mol of atoms
N(E_F) ... 7.35 states/eV/cell


[10]
This record from Alexandria via LeMat-Bulk describes a relaxed LaCrMo2 crystal. The functional is PBE-GGA.

Unit cell a=3.9101 b=3.9101 c=5.0315 alpha=90.00 beta=90.00 gamma=90.00
Element x y z (fractional)
La 0.0000 0.0000 0.0000
Cr 0.5000 0.5000 0.0000
Mo 0.0000 0.5000 0.5000
Mo 0.5000 0.0000 0.5000

## Properties
Electronic total energy ... -32.866 eV/cell
Space group ... P4/mmm, No. 123
Density ... 8263 kg/m3
Excess energy over the best structure of this formula in the dataset ... 40.8 kJ/mol of atoms
N(E_F) ... 4.59 states/eV/cell


[11]
This record from Alexandria via LeMat-Bulk describes a relaxed HoPuZr2N4 crystal. The functional is PBE-GGA.

Unit cell a=5.7843 b=3.3498 c=5.8405 alpha=90.00 beta=109.28 gamma=90.00
Element x y z (fractional)
Ho 0.0000 0.0000 0.0000
Pu 0.5000 0.5000 0.0000
Zr 0.0000 0.5000 0.5000
Zr 0.5000 0.0000 0.5000
N 0.2456 0.0000 0.7359
N 0.2546 0.5000 0.2655
N 0.7454 0.5000 0.7345
N 0.7544 0.0000 0.2641

## Properties
Electronic total energy ... -82.380 eV/cell
Space group ... P2/m, No. 10
Density ... 10064 kg/m3
N(E_F) ... 7.86 states/eV/cell


[12]
This record from Alexandria via LeMat-Bulk describes a relaxed Ac4PI2N crystal. The functional is PBE-GGA.

Unit cell a=7.3887 b=4.1841 c=8.5901 alpha=90.00 beta=106.06 gamma=90.00
Element x y z (fractional)
Ac 0.2053 0.0000 0.1796
Ac 0.2426 0.5000 0.8144
Ac 0.7574 0.5000 0.1856
Ac 0.7947 0.0000 0.8204
P 0.5000 0.0000 0.0000
I 0.0000 0.0000 0.5000
I 0.5000 0.5000 0.5000
N 0.0000 0.5000 0.0000

## Properties
Electronic total energy ... -42.623 eV/cell
Space group ... P2/m, No. 10
Density ... 7852 kg/m3
N(E_F) ... 3.67 states/eV/cell


Q: The lowest electronic total energy belongs to which entry?
A: HoPuZr2N4


Q: Which value of electronic total energy does entry 4 give?
A: -23.647 eV/cell